First-principles (PBE) data for crystalline Ac6Mg3Cd at its relaxed geometry, as listed in the Alexandria database.

Cell: 10.150 5.904 13.013 Å, 90.00 109.49 90.00°
Space group P2_1/m (No. 11)
One atom of each set of equivalent atoms:
Ac (0.037, 0.250, 0.416) (multiplicity 2)
Ac (0.163, 0.750, 0.173) (multiplicity 2)
Ac (0.244, 0.250, 0.998) (multiplicity 2)
Ac (0.342, 0.750, 0.805) (multiplicity 2)
Ac (0.360, 0.250, 0.341) (multiplicity 2)
Ac (0.410, 0.250, 0.634) (multiplicity 2)
Mg (0.033, 0.750, 0.874) (multiplicity 2)
Mg (0.107, 0.250, 0.715) (multiplicity 2)
Mg (0.268, 0.750, 0.475) (multiplicity 2)
Cd (0.457, 0.750, 0.086) (multiplicity 2)

E	-61.94	eV per cell
DFT formation energy	-62	meV per atom

---

First-principles (PBE) data for crystalline AcMgCd2 at its relaxed geometry, as listed in the Alexandria database.

Cell: 3.788 3.788 7.720 Å, 90.00 90.00 90.00°
Space group P4/mmm (No. 123)
One atom of each set of equivalent atoms:
Ac (0.000, 0.000, 0.000) (multiplicity 1)
Mg (0.000, 0.000, 0.500) (multiplicity 1)
Cd (0.500, 0.500, 0.296) (multiplicity 2)

E	-8.31	eV per cell
energy above the lowest structure with this stoichiometry	0.083	eV/atom
DFT formation energy	-193	meV per atom

---

Q: Look up the E of the second one.
A: -8.31 eV per cell